Material: K2AlAgBr6
Method: DFT, GGA-PBEsol
State: optimized geometry

Cell: 7.429 7.429 7.429 Å, 60.00 60.00 60.00°
Fractional positions:
K 0.250 0.250 0.250
K 0.750 0.750 0.750
Al 0.000 0.000 0.000
Ag 0.500 0.500 0.500
Br 0.238 0.238 0.762
Br 0.238 0.762 0.238
Br 0.238 0.762 0.762
Br 0.762 0.238 0.238
Br 0.762 0.238 0.762
Br 0.762 0.762 0.238

Values from the calculation:
* total magnetization: 0.00 μB/f.u.
* uncorrected formation energy: -1.154 eV per atom